Entry a
Here is an optimized crystal structure of ScCdNO from OQMD. Energies are from PBE.

Cell lengths 3.494, 5.690, 6.111 Å; angles 90.00, 90.00, 90.00 degrees
Atoms (fractional coordinates):
1 Cd 0.000 0.007 0.652
2 O 0.500 0.356 0.140
3 Sc 0.500 0.999 0.164
4 Cd 0.000 0.507 0.348
5 N 0.000 0.892 0.309
6 O 0.500 0.856 0.860
7 N 0.000 0.392 0.691
8 Sc 0.500 0.499 0.836

Calculated values
calculated volume	15.2	Å³ per atom

---

Entry b
Here is an optimized crystal structure of ScCdNO from OQMD. Energies are from PBE.

Cell lengths 3.776, 3.776, 7.566 Å; angles 90.00, 90.00, 90.00 degrees
Atoms (fractional coordinates):
1 Sc 0.000 0.500 0.120
2 Sc 0.500 0.000 0.880
3 O 0.000 0.000 0.000
4 Cd 0.500 0.500 0.500
5 N 0.500 0.000 0.306
6 N 0.000 0.500 0.694
7 O 0.500 0.500 0.000
8 Cd 0.000 0.000 0.500

Calculated values
calculated volume	13.5	Å³ per atom

---

Entry c
Here is an optimized crystal structure of ScCdNO from OQMD. Energies are from PBE.

Cell lengths 4.629, 4.629, 4.570 Å; angles 90.00, 90.00, 90.00 degrees
Atoms (fractional coordinates):
1 N 0.250 0.250 0.504
2 Cd 0.750 0.750 0.995
3 O 0.750 0.250 0.000
4 Sc 0.750 0.250 0.500
5 N 0.750 0.750 0.496
6 O 0.250 0.750 0.000
7 Sc 0.250 0.750 0.500
8 Cd 0.250 0.250 0.005

Calculated values
calculated volume	12.2	Å³ per atom

---

entry a has the most favorable energy; the next structure is 6.2 kJ/mol of atoms above.